{
  "formula": "PmErNp2As4",
  "functional": "GGA-PBE",
  "state": "relaxed",
  "lattice_angstrom": [[7.164, 0.000, 0.000], [0.000, 4.111, 0.000], [-2.363, 0.000, 6.763]],
  "species": ["Pm", "Er", "Np", "Np", "As", "As", "As", "As"],
  "fractional_positions": [[0.000, 0.000, 0.000], [0.000, 0.500, 0.500], [0.500, 0.000, 0.500], [0.500, 0.500, 0.000], [0.253, 0.000, 0.746], [0.257, 0.500, 0.257], [0.743, 0.500, 0.743], [0.747, 0.000, 0.254]],
  "ef_ev_per_atom": -1.0680,
  "final_energy_ev_per_cell": -62.34
}

{
  "formula": "Pm2ErNpAs4",
  "functional": "GGA-PBE",
  "state": "relaxed",
  "lattice_angstrom": [[7.203, 0.000, 0.000], [0.000, 4.159, 0.000], [-2.385, 0.000, 6.810]],
  "species": ["Pm", "Pm", "Er", "Np", "As", "As", "As", "As"],
  "fractional_positions": [[0.000, 0.000, 0.000], [0.500, 0.500, 0.000], [0.000, 0.500, 0.500], [0.500, 0.000, 0.500], [0.248, 0.000, 0.739], [0.254, 0.500, 0.261], [0.746, 0.500, 0.739], [0.752, 0.000, 0.261]],
  "ef_ev_per_atom": -1.3029,
  "final_energy_ev_per_cell": -56.03
}

{
  "formula": "PrEr2NpAs4",
  "functional": "GGA-PBE",
  "state": "relaxed",
  "lattice_angstrom": [[7.169, 0.000, 0.000], [0.000, 4.141, 0.000], [-2.383, 0.000, 6.781]],
  "species": ["Pr", "Er", "Er", "Np", "As", "As", "As", "As"],
  "fractional_positions": [[0.000, 0.000, 0.000], [0.500, 0.000, 0.500], [0.500, 0.500, 0.000], [0.000, 0.500, 0.500], [0.255, 0.000, 0.745], [0.258, 0.500, 0.261], [0.742, 0.500, 0.739], [0.745, 0.000, 0.255]],
  "ef_ev_per_atom": -1.2841,
  "final_energy_ev_per_cell": -55.72
}

> Which formula does entry 2 have?

Pm2ErNpAs4